No. 1
A PBEsol-optimized structure of SrNi2Br. Source: the Alexandria database, functional SCAN.

Results
Calculated total energy   -74.6 eV per cell
Raw formation energy   -0.122 eV/atom

Cell lengths 3.7556, 5.1414, 5.6112 Å; angles 108.49, 109.55, 90.00 degrees
Last column: magnetic moment on the atom in μB.
Positions (direct):
Ni 0.7046 0.8867 0.4092  0.65
Ni 0.2954 0.1133 0.5908  0.65
Br 0.5000 0.5000 0.0000  0.02
Sr 0.0000 0.0000 0.0000  -0.04


No. 2
A PBEsol-optimized structure of SrNi2Br. Source: the Alexandria database, functional SCAN.

Results
Calculated total energy   -72.9 eV per cell
Raw formation energy   0.288 eV/atom

Cell lengths 3.9914, 3.9914, 5.6010 Å; angles 110.87, 110.87, 90.00 degrees
Last column: magnetic moment on the atom in μB.
Positions (direct):
Ni 0.7500 0.2500 0.5000  0.41
Ni 0.2500 0.7500 0.5000  0.41
Br 0.0000 0.0000 0.0000  0.02
Sr 0.5000 0.5000 0.0000  -0.03


Going through the records in order, we get energy above the most stable polymorph in this dataset values of 0.0, 39.5 kJ per mole of atoms.
Going through the records in order, we get D(E_F) values of 1.8, 3.0 states/eV/f.u..